## Rb2VSO (GGA+U)

Data for an optimized crystal structure of Rb2VSO.

As for the electronic total energy: -0.2622 Ry per atom. The value obtained for the volume is 189.03 Å³ per cell.

The structure belongs to space group P4/mmm (No. 123); the cell edges are 6.495, 6.495 and 4.481 Å and the angles 90.00°, 90.00° and 90.00°. The asymmetric unit holds Rb at (0.000, 0.500, 0.000), V at (0.000, 0.000, 0.000), S at (0.000, 0.000, 0.500) and O at (0.500, 0.500, 0.500).